Entry from the Alexandria database: crystalline Na2NiH4Se2O10 at its relaxed geometry (PBE+U).

Unit cell a=5.268 b=6.641 c=7.219 alpha=111.10 beta=104.05 gamma=94.69
Space group P-1 (No. 2)
One atom of each set of equivalent atoms:
Na  0.171  0.173  0.256
Ni  0.000  0.500  0.000
H  0.099  0.423  0.657
H  0.211  0.649  0.402
Se  0.406  0.173  0.794
O  0.064  0.526  0.306
O  0.260  0.802  0.112
O  0.276  0.907  0.689
O  0.286  0.302  0.993
O  0.348  0.290  0.621

Results
crystal system	triclinic
E	-96.01	eV/cell
size of the total moment	0.1002	μB/atom